Here is a relaxed structure of CrSbI2O from the Alexandria database. Energies are from PBE with a Hubbard U.

```
CrSbI2O
1.0
-0.0818 1.5440 6.0135
5.8994 -1.8548 0.5565
1.2532 3.7055 -0.9344
I Sb O Cr
2 1 1 1
Cartesian
2.9497 -0.9274 0.2782
-0.0409 0.7720 3.0067
0.6266 1.8528 -0.4672
0.0000 0.0000 0.0000
3.5354 1.6974 2.8178
```

Fermi-level density of states = 3.75 states/eV/f.u.
total energy = -3.73 eV/atom
energy above the lowest structure with this stoichiometry = 510 meV per atom
space group = P4/mmm (123)
spin magnetization = 0.985 μB/atom
mass density = 4.8 g/cm3